LiSi2SnS6, optimized geometry, DFT PBE; energy relative to the elements, uncorrected = -0.607 eV/atom
1.0
6.1542 -5.6672 0.0000
6.1542 5.6672 0.0000
-1.7100 0.0000 6.1649
Li Si Sn S
2 4 2 12
direct
0.1002 0.8998 0.7500 Li
0.8998 0.1002 0.2500 Li
0.2024 0.3763 0.7350 Si
0.3763 0.2024 0.2350 Si
0.6237 0.7976 0.7650 Si
0.7976 0.6237 0.2650 Si
0.2630 0.7370 0.2500 Sn
0.7370 0.2630 0.7500 Sn
0.0285 0.1931 0.6408 S
0.1072 0.6090 0.8537 S
0.1931 0.0285 0.1408 S
0.3053 0.4166 0.4596 S
0.3910 0.8928 0.6463 S
0.4166 0.3053 0.9596 S
0.5834 0.6947 0.0404 S
0.6090 0.1072 0.3537 S
0.6947 0.5834 0.5404 S
0.8069 0.9715 0.8592 S
0.8928 0.3910 0.1463 S
0.9715 0.8069 0.3592 S

LaCr2Cd, optimized geometry, DFT PBE; formation energy = 0.5538 eV per atom
1.0
-2.2006 2.2006 4.6261
2.2006 -2.2006 4.6261
2.2006 2.2006 -4.6261
La Cr Cd
1 2 1
direct
0.0000 0.0000 0.0000 La
0.5000 0.5000 0.0000 Cr
0.7500 0.2500 0.5000 Cr
0.2500 0.7500 0.5000 Cd

Y2Ga4CuAu3, optimized geometry, DFT PBE; formation energy = -0.5682 eV per atom
1.0
4.2067 0.0000 0.0000
0.0000 4.2067 0.0000
0.0000 0.0000 11.0268
Y Ga Cu Au
2 4 1 3
direct
0.0000 0.5000 0.2390 Y
0.5000 0.0000 0.7610 Y
0.0000 0.0000 0.5000 Ga
0.0000 0.5000 0.8708 Ga
0.5000 0.0000 0.1292 Ga
0.5000 0.5000 0.5000 Ga
0.5000 0.5000 0.0000 Cu
0.0000 0.0000 0.0000 Au
0.0000 0.5000 0.6434 Au
0.5000 0.0000 0.3566 Au

Cs2HgPbBr6, optimized geometry, DFT PBE; polymorph energy (0 for the lowest one) = 0 meV/atom; energy relative to the elements, uncorrected = -1.140 eV/atom
1.0
8.1404 0.0000 0.0000
0.0000 8.2356 0.0000
-8.0925 0.0000 11.6266
Cs Hg Pb Br
4 2 2 12
direct
0.2384 0.0451 0.2494 Cs
0.2384 0.4549 0.7494 Cs
0.7616 0.5451 0.2506 Cs
0.7616 0.9549 0.7506 Cs
0.0000 0.0000 0.5000 Hg
0.0000 0.5000 0.0000 Hg
0.5000 0.0000 0.0000 Pb
0.5000 0.5000 0.5000 Pb
0.1776 0.2202 0.9711 Br
0.1776 0.2798 0.4711 Br
0.2504 0.7070 0.9711 Br
0.2504 0.7930 0.4711 Br
0.2986 0.0018 0.7433 Br
0.2986 0.4982 0.2433 Br
0.7014 0.5018 0.7567 Br
0.7014 0.9982 0.2567 Br
0.7496 0.2070 0.5289 Br
0.7496 0.2930 0.0289 Br
0.8224 0.7202 0.5289 Br
0.8224 0.7798 0.0289 Br

Respective V values: 430.03, 89.61, 195.13, 779.47 Å³ per cell.
Respective total moment values: 0.0, 7.6, 0.0, 0.0 Bohr magnetons per cell.